Entry 1:
TiBSe2Br: relaxed, PBE.

Output
For the excess energy over the best structure of this formula in the dataset, the calculation gives 63 meV per atom. Its symmetry is P4/mmm. For the uncorrected formation energy, the calculation gives 0.52 eV per atom. The calculation puts the volume at 18.39 A^3/atom. The raw total energy comes out at -20.6 eV per cell.

Lattice parameters (Å, degrees): 4.5325 4.5325 4.4765 90.00 90.00 90.00
With the nearest neighbours (Å) after each atom.
Fractional coordinates of all 5 atoms:
Se1 0.5000 0.0000 0.0000  2 B 2.27
Se2 0.0000 0.5000 0.0000  2 B 2.27
Ti1 0.5000 0.5000 0.5000  8 Se 3.19, 4 Br 3.20
B1 0.0000 0.0000 0.0000  2 Br 2.24, 4 Se 2.27
Br1 0.0000 0.0000 0.5000  2 B 2.24

=====

Entry 2:
TiBSeBr2: relaxed, PBE.

Output
For the excess energy over the best structure of this formula in the dataset, the calculation gives 0 meV per atom. Its symmetry is P4/mmm. For the uncorrected formation energy, the calculation gives 0.38 eV per atom. The calculation puts the volume at 26.34 A^3/atom. The raw total energy comes out at -19.5 eV per cell.

Lattice parameters (Å, degrees): 5.1620 5.1620 4.9430 90.00 90.00 90.00
With the nearest neighbours (Å) after each atom.
Fractional coordinates of all 5 atoms:
Br1 0.0000 0.5000 0.0000  2 Ti 2.58
Br2 0.5000 0.0000 0.0000  2 Ti 2.58
Ti1 0.0000 0.0000 0.0000  2 Se 2.47, 4 Br 2.58
B1 0.5000 0.5000 0.5000  8 Br 3.57, 4 Se 3.65
Se1 0.0000 0.0000 0.5000  2 Ti 2.47

=====

Entry 3:
VBSeBr2: relaxed, PBE.

Output
For the excess energy over the best structure of this formula in the dataset, the calculation gives 0 meV per atom. Its symmetry is P4/mmm. For the uncorrected formation energy, the calculation gives 0.65 eV per atom. The calculation puts the volume at 25.59 A^3/atom. The raw total energy comes out at -19.4 eV per cell.

Lattice parameters (Å, degrees): 5.1714 5.1714 4.7838 90.00 90.00 90.00
With the nearest neighbours (Å) after each atom.
Fractional coordinates of all 5 atoms:
V1 0.0000 0.0000 0.0000  2 Se 2.39, 4 Br 2.59
B1 0.5000 0.5000 0.5000  8 Br 3.52, 4 Se 3.66
Br1 0.0000 0.5000 0.0000  2 V 2.59
Br2 0.5000 0.0000 0.0000  2 V 2.59
Se1 0.0000 0.0000 0.5000  2 V 2.39

=====

Entry 4:
VBSe2Br: relaxed, PBE.

Output
For the excess energy over the best structure of this formula in the dataset, the calculation gives 0 meV per atom. Its symmetry is P4/mmm. For the uncorrected formation energy, the calculation gives 0.74 eV per atom. The calculation puts the volume at 24.14 A^3/atom. The raw total energy comes out at -20.7 eV per cell.

Lattice parameters (Å, degrees): 4.7696 4.7696 5.3051 90.00 90.00 90.00
With the nearest neighbours (Å) after each atom.
Fractional coordinates of all 5 atoms:
Se1 0.0000 0.5000 0.0000  2 V 2.38
Se2 0.5000 0.0000 0.0000  2 V 2.38
Br1 0.0000 0.0000 0.5000  2 V 2.65
B1 0.5000 0.5000 0.5000  4 Br 3.37, 8 Se 3.57
V1 0.0000 0.0000 0.0000  4 Se 2.38, 2 Br 2.65

=====

Entry 5:
VBSeBr2: relaxed, PBE.

Output
For the excess energy over the best structure of this formula in the dataset, the calculation gives 90 meV per atom. Its symmetry is P4/mmm. For the uncorrected formation energy, the calculation gives 0.74 eV per atom. The calculation puts the volume at 19.77 A^3/atom. The raw total energy comes out at -18.9 eV per cell.

Lattice parameters (Å, degrees): 4.5694 4.5694 4.7346 90.00 90.00 90.00
With the nearest neighbours (Å) after each atom.
Fractional coordinates of all 5 atoms:
Se1 0.0000 0.0000 0.5000  2 B 2.37
B1 0.0000 0.0000 0.0000  4 Br 2.28, 2 Se 2.37
Br1 0.0000 0.5000 0.0000  2 B 2.28
Br2 0.5000 0.0000 0.0000  2 B 2.28
V1 0.5000 0.5000 0.5000  4 Se 3.23, 8 Br 3.29

=====

Entry 6:
VBSe2Br: relaxed, PBE.

Output
For the excess energy over the best structure of this formula in the dataset, the calculation gives 157 meV per atom. Its symmetry is P4/mmm. For the uncorrected formation energy, the calculation gives 0.90 eV per atom. The calculation puts the volume at 18.14 A^3/atom. The raw total energy comes out at -19.9 eV per cell.

Lattice parameters (Å, degrees): 4.4888 4.4888 4.5019 90.00 90.00 90.00
With the nearest neighbours (Å) after each atom.
Fractional coordinates of all 5 atoms:
Se1 0.5000 0.0000 0.0000  2 B 2.24
Se2 0.0000 0.5000 0.0000  2 B 2.24
B1 0.0000 0.0000 0.0000  4 Se 2.24, 2 Br 2.25
V1 0.5000 0.5000 0.5000  4 Br 3.17, 8 Se 3.18
Br1 0.0000 0.0000 0.5000  2 B 2.25

=====

Entry 7:
BWSeBr2: relaxed, PBE.

Output
For the excess energy over the best structure of this formula in the dataset, the calculation gives 373 meV per atom. Its symmetry is P4/mmm. For the uncorrected formation energy, the calculation gives 1.54 eV per atom. The calculation puts the volume at 17.70 A^3/atom. The raw total energy comes out at -18.7 eV per cell.

Lattice parameters (Å, degrees): 4.4184 4.4184 4.5324 90.00 90.00 90.00
With the nearest neighbours (Å) after each atom.
Fractional coordinates of all 5 atoms:
Se1 0.0000 0.0000 0.5000  2 B 2.27
W1 0.5000 0.5000 0.5000  4 Se 3.12, 8 Br 3.16
B1 0.0000 0.0000 0.0000  4 Br 2.21, 2 Se 2.27
Br1 0.5000 0.0000 0.0000  2 B 2.21
Br2 0.0000 0.5000 0.0000  2 B 2.21

=====

Entry 8:
BWSeBr2: relaxed, PBE.

Output
For the excess energy over the best structure of this formula in the dataset, the calculation gives 0 meV per atom. Its symmetry is P4/mmm. For the uncorrected formation energy, the calculation gives 1.17 eV per atom. The calculation puts the volume at 27.00 A^3/atom. The raw total energy comes out at -20.6 eV per cell.

Lattice parameters (Å, degrees): 5.2765 5.2765 4.8481 90.00 90.00 90.00
With the nearest neighbours (Å) after each atom.
Fractional coordinates of all 5 atoms:
Br1 0.5000 0.0000 0.0000  2 W 2.64
Br2 0.0000 0.5000 0.0000  2 W 2.64
W1 0.0000 0.0000 0.0000  2 Se 2.42, 4 Br 2.64
Se1 0.0000 0.0000 0.5000  2 W 2.42
B1 0.5000 0.5000 0.5000  8 Br 3.58, 4 Se 3.73

=====

Entry 9:
YBSeBr2: relaxed, PBE.

Output
For the excess energy over the best structure of this formula in the dataset, the calculation gives 0 meV per atom. Its symmetry is P4/mmm. For the uncorrected formation energy, the calculation gives -0.11 eV per atom. The calculation puts the volume at 21.17 A^3/atom. The raw total energy comes out at -20.5 eV per cell.

Lattice parameters (Å, degrees): 4.7563 4.7563 4.6799 90.00 90.00 90.00
With the nearest neighbours (Å) after each atom.
Fractional coordinates of all 5 atoms:
B1 0.0000 0.0000 0.0000  2 Se 2.34, 4 Br 2.38
Se1 0.0000 0.0000 0.5000  2 B 2.34
Y1 0.5000 0.5000 0.5000  8 Br 3.34, 4 Se 3.36
Br1 0.5000 0.0000 0.0000  2 B 2.38
Br2 0.0000 0.5000 0.0000  2 B 2.38

=====

Entry 10:
YBSeBr2: relaxed, PBE.

Output
For the excess energy over the best structure of this formula in the dataset, the calculation gives 65 meV per atom. Its symmetry is P4/mmm. For the uncorrected formation energy, the calculation gives -0.04 eV per atom. The calculation puts the volume at 34.04 A^3/atom. The raw total energy comes out at -20.2 eV per cell.

Lattice parameters (Å, degrees): 5.5218 5.5218 5.5820 90.00 90.00 90.00
With the nearest neighbours (Å) after each atom.
Fractional coordinates of all 5 atoms:
Br1 0.5000 0.0000 0.0000  2 Y 2.76
Br2 0.0000 0.5000 0.0000  2 Y 2.76
Y1 0.0000 0.0000 0.0000  4 Br 2.76, 2 Se 2.79
B1 0.5000 0.5000 0.5000  4 Se 3.90, 8 Br 3.93
Se1 0.0000 0.0000 0.5000  2 Y 2.79

=====

Entry 11:
ZnBSeBr2: relaxed, PBE.

Output
For the excess energy over the best structure of this formula in the dataset, the calculation gives 304 meV per atom. Its symmetry is P4/mmm. For the uncorrected formation energy, the calculation gives 0.85 eV per atom. The calculation puts the volume at 26.31 A^3/atom. The raw total energy comes out at -10.5 eV per cell.

Lattice parameters (Å, degrees): 5.1554 5.1554 4.9489 90.00 90.00 90.00
With the nearest neighbours (Å) after each atom.
Fractional coordinates of all 5 atoms:
Br1 0.5000 0.0000 0.0000  2 Zn 2.58
Br2 0.0000 0.5000 0.0000  2 Zn 2.58
Se1 0.0000 0.0000 0.5000  2 Zn 2.47
Zn1 0.0000 0.0000 0.0000  2 Se 2.47, 4 Br 2.58
B1 0.5000 0.5000 0.5000  8 Br 3.57, 4 Se 3.65

=====

Entry 12:
ZnBSeBr2: relaxed, PBE.

Output
For the excess energy over the best structure of this formula in the dataset, the calculation gives 0 meV per atom. Its symmetry is P4/mmm. For the uncorrected formation energy, the calculation gives 0.55 eV per atom. The calculation puts the volume at 20.30 A^3/atom. The raw total energy comes out at -12.0 eV per cell.

Lattice parameters (Å, degrees): 4.6143 4.6143 4.7663 90.00 90.00 90.00
With the nearest neighbours (Å) after each atom.
Fractional coordinates of all 5 atoms:
Zn1 0.5000 0.5000 0.5000  4 Se 3.26, 8 Br 3.32
B1 0.0000 0.0000 0.0000  4 Br 2.31, 2 Se 2.38
Se1 0.0000 0.0000 0.5000  2 B 2.38
Br1 0.0000 0.5000 0.0000  2 B 2.31
Br2 0.5000 0.0000 0.0000  2 B 2.31

=====

Entry 13:
ZrBSe2Br: relaxed, PBE.

Output
For the excess energy over the best structure of this formula in the dataset, the calculation gives 49 meV per atom. Its symmetry is P4/mmm. For the uncorrected formation energy, the calculation gives 0.33 eV per atom. The calculation puts the volume at 29.16 A^3/atom. The raw total energy comes out at -22.2 eV per cell.

Lattice parameters (Å, degrees): 5.2385 5.2385 5.3138 90.00 90.00 90.00
With the nearest neighbours (Å) after each atom.
Fractional coordinates of all 5 atoms:
Se1 0.0000 0.5000 0.0000  2 Zr 2.62
Se2 0.5000 0.0000 0.0000  2 Zr 2.62
Zr1 0.0000 0.0000 0.0000  4 Se 2.62, 2 Br 2.66
B1 0.5000 0.5000 0.5000  4 Br 3.70, 8 Se 3.73
Br1 0.0000 0.0000 0.5000  2 Zr 2.66